1.
VASP calculation (PBE-GGA) on a geometry-optimized Ca3MgP structure.

POSCAR file:
```
Ca3MgP
1.0
3.9261 0.0000 0.0000
-1.9542 6.4250 0.0000
-0.0024 -1.0761 11.9191
Ca Mg P
6 2 2
Cartesian
0.0000 0.0000 0.0000
0.0026 0.6103 3.3293
0.0037 3.6896 1.4939
1.9668 1.6454 10.3175
1.9710 3.5890 4.9627
1.9720 4.7338 8.5673
0.0090 1.9996 7.3364
1.9664 -0.0997 6.1378
0.0056 3.7196 10.5556
1.9651 1.6268 1.3752
```

Computed properties:
total magnetic moment: 0.4 μB per formula unit
formation energy from the elements: -519 meV per atom
density: 1939 kg/m³
energy relative to the lowest polymorph listed for this composition: 0.24 eV/f.u.

---

2.
VASP calculation (PBE-GGA) on a geometry-optimized SbI2NF structure.

POSCAR file:
```
SbI2NF
1.0
6.0171 0.0000 0.0000
0.0000 6.0171 0.0000
0.0000 0.0000 3.8902
Sb I N F
1 2 1 1
Cartesian
0.0000 0.0000 0.0000
0.0000 3.0085 0.0000
3.0085 0.0000 0.0000
0.0000 0.0000 1.9451
3.0085 3.0085 1.9451
```

Computed properties:
total magnetic moment: 0.0 μB per formula unit
raw formation energy: 0.62 eV/atom
density: 4817 kg/m³
energy relative to the lowest polymorph listed for this composition: 0.37 eV/f.u.

---

3.
VASP calculation (PBE-GGA) on a geometry-optimized KI structure.

POSCAR file:
```
KI
1.0
2.4756 -4.2755 0.0000
2.4756 4.2755 0.0000
0.0000 0.0000 8.6852
K I
2 2
Cartesian
0.0000 0.0000 0.0000
0.0000 0.0000 4.3426
2.4756 1.4189 6.5139
2.4756 -1.4189 2.1713
```

Computed properties:
total magnetic moment: 0.0 μB per formula unit
raw formation energy: -1.47 eV/atom
density: 2999 kg/m³

---

4.
VASP calculation (PBE-GGA) on a geometry-optimized NaCd3Ga3 structure.

POSCAR file:
```
NaCd3Ga3
1.0
3.7961 2.1917 6.4725
-3.7961 2.1917 6.4725
0.0000 -4.3833 6.4725
Na Cd Ga
2 6 6
Cartesian
0.0000 0.0000 3.2146
0.0000 0.0000 16.2029
-0.9347 -1.5557 8.4709
-1.8146 0.0316 10.9465
-0.8799 1.5873 8.4709
0.8799 -1.5873 10.9465
1.8146 -0.0316 8.4709
0.9347 1.5557 10.9465
-0.6738 -2.1462 5.6531
-1.5218 1.6566 5.6531
-2.1956 -0.4896 13.7643
2.1956 0.4896 5.6531
1.5218 -1.6566 13.7643
0.6738 2.1462 13.7643
```

Computed properties:
total magnetic moment: 0.0 μB per formula unit
formation energy from the elements: 35 meV per atom
density: 5853 kg/m³
energy relative to the lowest polymorph listed for this composition: 0.00 eV/f.u.

---

5.
VASP calculation (PBE-GGA) on a geometry-optimized NaMnRuI2 structure.

POSCAR file:
```
NaMnRuI2
1.0
5.0873 0.0000 0.0000
0.0000 5.0873 0.0000
0.0000 0.0000 5.2884
Na Mn Ru I
1 1 1 2
Cartesian
0.0000 0.0000 0.0000
0.0000 0.0000 2.6442
2.5437 2.5437 0.0000
0.0000 2.5437 2.6442
2.5437 0.0000 2.6442
```

Computed properties:
total magnetic moment: 2.8 μB per formula unit
raw formation energy: 1.35 eV/atom
density: 5251 kg/m³

---

6.
VASP calculation (PBE-GGA) on a geometry-optimized Ca2MgTlRh structure.

POSCAR file:
```
Ca2MgTlRh
1.0
5.4277 0.0000 0.0000
0.0000 5.4277 0.0000
0.0000 0.0000 5.0605
Ca Mg Tl Rh
2 1 1 1
Cartesian
0.0000 2.7138 0.0000
2.7138 0.0000 0.0000
0.0000 0.0000 2.5303
2.7138 2.7138 2.5303
0.0000 0.0000 0.0000
```

Computed properties:
total magnetic moment: 0.0 μB per formula unit
formation energy from the elements: -227 meV per atom
density: 4586 kg/m³
energy relative to the lowest polymorph listed for this composition: 0.00 eV/f.u.

---

7.
VASP calculation (PBE-GGA) on a geometry-optimized K2ZnRh structure.

POSCAR file:
```
K2ZnRh
1.0
-2.2012 2.8368 4.8279
2.2012 -2.8368 4.8279
2.2012 2.8368 -4.8279
K Zn Rh
2 1 1
Cartesian
0.0000 0.0000 0.0000
0.0000 2.8368 1.8825
0.0000 0.0000 3.8804
2.2012 0.0000 2.9047
```

Computed properties:
total magnetic moment: 0.0 μB per formula unit
formation energy from the elements: 241 meV per atom
density: 3394 kg/m³

---

8.
VASP calculation (PBE-GGA) on a geometry-optimized Sr2AcIn2Sb4 structure.

POSCAR file:
```
Sr2AcIn2Sb4
1.0
8.3962 -2.3694 0.0000
8.3962 2.3694 0.0000
-2.2861 0.0000 7.7516
Sr Ac In Sb
2 1 2 4
Cartesian
2.0538 0.0000 0.5015
12.4525 0.0000 7.2500
-1.1430 0.0000 3.8758
4.4398 0.0000 3.8946
10.0665 0.0000 3.8570
1.9461 0.0000 5.6348
6.3873 0.0000 6.1809
8.1190 0.0000 1.5706
12.5602 0.0000 2.1168
```

Computed properties:
total magnetic moment: 0.0 μB per formula unit
raw formation energy: -0.68 eV/atom
density: 6024 kg/m³

---

9.
VASP calculation (PBE-GGA) on a geometry-optimized Cd3Cu structure.

POSCAR file:
```
Cd3Cu
1.0
-2.1396 2.1396 4.2034
2.1396 -2.1396 4.2034
2.1396 2.1396 -4.2034
Cd Cu
3 1
Cartesian
0.0000 0.0000 0.0000
2.1396 0.0000 2.1017
0.0000 2.1396 2.1017
0.0000 0.0000 4.2034
```

Computed properties:
total magnetic moment: 0.0 μB per formula unit
formation energy from the elements: 101 meV per atom
density: 8646 kg/m³

---

10.
VASP calculation (PBE-GGA) on a geometry-optimized La2RhPb2 structure.

POSCAR file:
```
La2RhPb2
1.0
4.1075 0.0000 0.0000
2.0448 6.2193 0.0000
2.0328 -0.5106 11.6293
La Rh Pb
4 2 4
Cartesian
1.0253 1.3145 1.4117
3.0667 1.5409 7.4807
5.1184 4.1677 4.1486
7.1598 4.3942 10.2176
3.0706 2.1845 3.3090
5.1145 3.5242 8.3203
3.0599 4.9358 6.9446
3.0730 4.1419 1.2578
5.1121 1.5668 10.3714
5.1252 0.7729 4.6847
```

Computed properties:
total magnetic moment: 0.0 μB per formula unit
formation energy from the elements: -622 meV per atom
density: 8889 kg/m³
energy relative to the lowest polymorph listed for this composition: 0.00 eV/f.u.

---

11.
VASP calculation (PBE-GGA) on a geometry-optimized GaGe2Ir2 structure.

POSCAR file:
```
GaGe2Ir2
1.0
-1.8868 1.8868 5.9465
1.8868 -1.8868 5.9465
1.8868 1.8868 -5.9465
Ga Ge Ir
1 2 2
Cartesian
0.0000 0.0000 0.0000
1.8868 0.0000 2.9732
0.0000 1.8868 2.9732
0.0000 0.0000 4.5938
0.0000 0.0000 7.2992
```

Computed properties:
total magnetic moment: 0.0 μB per formula unit
formation energy from the elements: -52 meV per atom
density: 11755 kg/m³
energy relative to the lowest polymorph listed for this composition: 0.87 eV/f.u.

---

12.
VASP calculation (PBE-GGA) on a geometry-optimized Pa2Tl2Te7 structure.

POSCAR file:
```
Pa2Tl2Te7
1.0
4.3603 -4.3640 0.0000
4.3603 4.3640 0.0000
-0.9539 0.0000 10.5472
Pa Tl Te
2 2 7
Cartesian
1.5766 0.0000 1.1134
6.1901 0.0000 9.4338
3.8834 2.3593 5.2736
3.8834 -2.3593 5.2736
3.2863 2.6959 1.5794
1.9163 0.0000 4.0488
4.4805 2.6959 8.9678
4.3603 0.0000 0.0000
3.2863 -2.6959 1.5794
5.8504 0.0000 6.4983
4.4805 -2.6959 8.9678
```

Computed properties:
total magnetic moment: 0.4 μB per formula unit
raw formation energy: -0.53 eV/atom
density: 7298 kg/m³
energy relative to the lowest polymorph listed for this composition: 0.17 eV/f.u.